(1)
PBE-GGA Rb2HfInBr6, relaxed; uncorrected formation energy = -12.96 eV per formula unit; energy relative to the lowest polymorph listed for this composition = 0 meV/atom; space group = R-3m; final energy = -3.76 eV/atom
1.0
-4.616 -6.154 1.638
0.080 -3.171 7.198
-12.781 6.505 7.306
Br In Rb Hf
12 2 4 2
direct
0.365 0.866 0.404 Br
0.807 0.285 0.100 Br
0.193 0.715 0.900 Br
0.193 0.193 0.900 Br
0.134 0.635 0.596 Br
0.285 0.807 0.100 Br
0.807 0.807 0.100 Br
0.715 0.193 0.900 Br
0.635 0.134 0.596 Br
0.866 0.365 0.404 Br
0.365 0.365 0.404 Br
0.635 0.635 0.596 Br
0.421 0.421 0.737 In
0.579 0.579 0.263 In
0.139 0.139 0.583 Rb
0.691 0.691 0.927 Rb
0.861 0.861 0.417 Rb
0.309 0.309 0.073 Rb
0.500 0.500 0.500 Hf
0.000 0.000 0.000 Hf



(2)
PBE-GGA Rb2HfInBr6, relaxed; uncorrected formation energy = -12.77 eV per formula unit; energy relative to the lowest polymorph listed for this composition = 19 meV/atom; space group = Fm-3m; final energy = -3.74 eV/atom
1.0
-3.230 1.793 7.365
0.672 -7.906 2.220
4.063 -2.016 6.881
Br In Hf Rb
6 1 1 2
direct
0.229 0.229 0.542 Br
0.229 0.229 0.000 Br
0.771 0.229 0.000 Br
0.771 0.771 0.000 Br
0.771 0.771 0.458 Br
0.229 0.771 0.000 Br
0.500 0.500 0.000 In
0.000 0.000 0.000 Hf
0.750 0.250 0.500 Rb
0.250 0.750 0.500 Rb